# Na2VF8

An optimized crystal structure of Na2VF8 (PBE+U, Alexandria).

Its energy is -0.3425 Ry/atom.

The structure belongs to space group C2/m (No. 12); the cell edges are 9.687, 7.295 and 4.795 Å and the angles 90.00°, 111.78° and 90.00°. Symmetry generates all atoms from Na at (0.167, 0.000, 0.335), V at (0.000, 0.500, 0.000), F at (0.076, 0.000, 0.713), F at (0.117, 0.325, 0.246) and F at (0.121, 0.500, 0.791).